! Ti5CrPt2Rh2 (PBE-GGA, optimized geometry); values from VASP
! - SG = P4/mbm
&SYSTEM
  ibrav = 0, nat = 20, ntyp = 4
/
ATOMIC_SPECIES
Ti 47.87 Ti.upf
Cr 52.00 Cr.upf
Pt 195.08 Pt.upf
Rh 102.91 Rh.upf
CELL_PARAMETERS angstrom
10.563 0.000 0.000
0.000 10.563 0.000
0.000 0.000 2.908
ATOMIC_POSITIONS angstrom
Ti 0.000 5.282 0.000
Ti 1.390 1.600 0.000
Ti 1.600 9.173 0.000
Ti 3.682 3.892 0.000
Ti 3.892 6.881 0.000
Ti 5.282 0.000 0.000
Ti 6.671 3.682 0.000
Ti 6.881 6.671 0.000
Ti 8.963 1.390 0.000
Ti 9.173 8.963 0.000
Cr 0.000 0.000 1.454
Cr 5.282 5.282 1.454
Pt 1.612 6.893 1.454
Pt 3.670 1.612 1.454
Pt 6.893 8.951 1.454
Pt 8.951 3.670 1.454
Rh 1.519 3.763 1.454
Rh 3.763 9.044 1.454
Rh 6.800 1.519 1.454
Rh 9.044 6.800 1.454

***

! VCrPtRh (PBE-GGA, optimized geometry); values from VASP
! - SG = I-4m2
&SYSTEM
  ibrav = 0, nat = 8, ntyp = 4
/
ATOMIC_SPECIES
V 50.94 V.upf
Cr 52.00 Cr.upf
Pt 195.08 Pt.upf
Rh 102.91 Rh.upf
CELL_PARAMETERS angstrom
3.812 0.000 0.000
0.000 3.812 0.000
0.000 0.000 7.561
ATOMIC_POSITIONS angstrom
V 0.000 0.000 0.000
V 1.906 1.906 3.780
Cr 0.000 0.000 3.780
Cr 1.906 1.906 0.000
Pt 0.000 1.906 5.671
Pt 1.906 0.000 1.890
Rh 0.000 1.906 1.890
Rh 1.906 0.000 5.671

***

! V2CrPtRh5 (PBE-GGA, optimized geometry); values from VASP
! - SG = I4/mcm
&SYSTEM
  ibrav = 0, nat = 18, ntyp = 4
/
ATOMIC_SPECIES
V 50.94 V.upf
Cr 52.00 Cr.upf
Pt 195.08 Pt.upf
Rh 102.91 Rh.upf
CELL_PARAMETERS angstrom
-3.523 3.523 5.511
3.523 -3.523 5.511
3.523 3.523 -5.511
ATOMIC_POSITIONS angstrom
V 4.302 0.779 0.000
V 0.779 2.744 0.000
V 2.744 0.779 5.511
V -0.779 2.744 5.511
Cr 0.000 0.000 2.755
Cr 0.000 0.000 8.266
Pt 3.523 0.000 2.755
Pt 0.000 3.523 2.755
Rh 0.000 0.000 0.000
Rh 2.001 1.522 -1.424
Rh 2.001 -1.522 4.086
Rh 2.001 1.522 1.424
Rh 2.001 -1.522 6.935
Rh 0.000 0.000 5.511
Rh 1.522 5.045 -1.424
Rh 1.522 2.001 4.086
Rh 1.522 5.045 1.424
Rh 1.522 2.001 6.935

***

! VCr2PtRh5 (PBE-GGA, optimized geometry); values from VASP
! - SG = I4/mcm
&SYSTEM
  ibrav = 0, nat = 18, ntyp = 4
/
ATOMIC_SPECIES
V 50.94 V.upf
Cr 52.00 Cr.upf
Pt 195.08 Pt.upf
Rh 102.91 Rh.upf
CELL_PARAMETERS angstrom
-2.923 2.923 7.623
2.923 -2.923 7.623
2.923 2.923 -7.623
ATOMIC_POSITIONS angstrom
V 0.000 0.000 3.811
V 0.000 0.000 11.434
Cr 3.593 0.670 0.000
Cr 0.670 2.253 0.000
Cr 2.253 0.670 7.623
Cr -0.670 2.253 7.623
Pt 2.923 0.000 3.811
Pt 0.000 2.923 3.811
Rh 0.000 0.000 0.000
Rh 1.560 1.363 -2.039
Rh 1.560 -1.363 5.584
Rh 1.560 1.363 2.039
Rh 1.560 -1.363 9.661
Rh 0.000 0.000 7.623
Rh 1.363 4.286 -2.039
Rh 1.363 1.560 5.584
Rh 1.363 4.286 2.039
Rh 1.363 1.560 9.661

***

! CrRu2Pt (PBE-GGA, optimized geometry); values from VASP
! - SG = Pmmm
&SYSTEM
  ibrav = 0, nat = 4, ntyp = 3
/
ATOMIC_SPECIES
Cr 52.00 Cr.upf
Ru 101.07 Ru.upf
Pt 195.08 Pt.upf
CELL_PARAMETERS angstrom
2.699 0.000 0.000
0.000 3.765 0.000
0.000 0.000 5.469
ATOMIC_POSITIONS angstrom
Cr 0.000 0.000 0.000
Ru 1.350 1.882 1.261
Ru 1.350 1.882 4.209
Pt 0.000 0.000 2.735

***

! CrRu2Pt (PBE-GGA, optimized geometry); values from VASP
! - SG = I4/mmm
&SYSTEM
  ibrav = 0, nat = 8, ntyp = 3
/
ATOMIC_SPECIES
Cr 52.00 Cr.upf
Ru 101.07 Ru.upf
Pt 195.08 Pt.upf
CELL_PARAMETERS angstrom
3.827 0.000 0.000
0.000 3.827 0.000
0.000 0.000 7.573
ATOMIC_POSITIONS angstrom
Cr 0.000 0.000 0.000
Cr 1.914 1.914 3.787
Ru 0.000 1.914 1.893
Ru 0.000 1.914 5.680
Ru 1.914 0.000 1.893
Ru 1.914 0.000 5.680
Pt 0.000 0.000 3.787
Pt 1.914 1.914 0.000

***

! CrRu2Pt (PBE-GGA, optimized geometry); values from VASP
! - SG = F-43m
&SYSTEM
  ibrav = 0, nat = 16, ntyp = 3
/
ATOMIC_SPECIES
Cr 52.00 Cr.upf
Ru 101.07 Ru.upf
Pt 195.08 Pt.upf
CELL_PARAMETERS angstrom
6.177 0.000 0.000
0.000 6.177 0.000
0.000 0.000 6.177
ATOMIC_POSITIONS angstrom
Cr 0.000 0.000 0.000
Cr 0.000 3.088 3.088
Cr 3.088 0.000 3.088
Cr 3.088 3.088 0.000
Ru 0.000 0.000 3.088
Ru 0.000 3.088 0.000
Ru 1.544 1.544 1.544
Ru 1.544 4.633 4.633
Ru 3.088 0.000 0.000
Ru 3.088 3.088 3.088
Ru 4.633 1.544 4.633
Ru 4.633 4.633 1.544
Pt 1.544 1.544 4.633
Pt 1.544 4.633 1.544
Pt 4.633 1.544 1.544
Pt 4.633 4.633 4.633

***

! CrRu2Pt (PBE-GGA, optimized geometry); values from VASP
! - SG = P4mm
&SYSTEM
  ibrav = 0, nat = 4, ntyp = 3
/
ATOMIC_SPECIES
Cr 52.00 Cr.upf
Ru 101.07 Ru.upf
Pt 195.08 Pt.upf
CELL_PARAMETERS angstrom
3.260 0.000 0.000
0.000 3.260 0.000
0.000 0.000 5.456
ATOMIC_POSITIONS angstrom
Cr 0.000 0.000 0.000
Ru 0.000 0.000 2.803
Ru 1.630 1.630 4.087
Pt 1.630 1.630 1.319

***

! Cr2Ru2Pt (PBE-GGA, optimized geometry); values from VASP
! - ΔE to the lowest computed polymorph (meV per atom) = 0
! - SG = P4/mbm
&SYSTEM
  ibrav = 0, nat = 10, ntyp = 3
/
ATOMIC_SPECIES
Cr 52.00 Cr.upf
Ru 101.07 Ru.upf
Pt 195.08 Pt.upf
CELL_PARAMETERS angstrom
7.062 0.000 0.000
0.000 7.062 0.000
0.000 0.000 2.740
ATOMIC_POSITIONS angstrom
Cr 0.877 2.654 0.000
Cr 2.654 6.186 0.000
Cr 4.408 0.877 0.000
Cr 6.186 4.408 0.000
Ru 1.194 4.725 1.370
Ru 2.338 1.194 1.370
Ru 4.725 5.869 1.370
Ru 5.869 2.338 1.370
Pt 0.000 0.000 0.000
Pt 3.531 3.531 0.000

***

! Cr2RuPt (PBE-GGA, optimized geometry); values from VASP
! - SG = R3m
&SYSTEM
  ibrav = 0, nat = 12, ntyp = 3
/
ATOMIC_SPECIES
Cr 52.00 Cr.upf
Ru 101.07 Ru.upf
Pt 195.08 Pt.upf
CELL_PARAMETERS angstrom
2.666 0.000 0.000
-1.333 2.309 0.000
0.000 0.000 26.264
ATOMIC_POSITIONS angstrom
Cr 0.000 0.000 0.000
Cr 0.000 0.000 6.638
Cr 0.000 1.539 17.509
Cr 0.000 1.539 24.148
Cr 1.333 0.770 8.755
Cr 1.333 0.770 15.393
Ru 0.000 0.000 13.389
Ru 0.000 1.539 4.634
Ru 1.333 0.770 22.143
Pt 0.000 0.000 19.677
Pt 0.000 1.539 10.923
Pt 1.333 0.770 2.168

***

! CrRu2Pt (PBE-GGA, optimized geometry); values from VASP
! - SG = R-3m
&SYSTEM
  ibrav = 0, nat = 12, ntyp = 3
/
ATOMIC_SPECIES
Cr 52.00 Cr.upf
Ru 101.07 Ru.upf
Pt 195.08 Pt.upf
CELL_PARAMETERS angstrom
2.697 0.000 0.000
-1.349 2.336 0.000
0.000 0.000 26.502
ATOMIC_POSITIONS angstrom
Cr 0.000 0.000 0.000
Cr 0.000 1.557 17.668
Cr 1.349 0.779 8.834
Ru 0.000 0.000 6.789
Ru 0.000 0.000 19.713
Ru 0.000 1.557 10.879
Ru 0.000 1.557 24.457
Ru 1.349 0.779 2.045
Ru 1.349 0.779 15.623
Pt 0.000 0.000 13.251
Pt 0.000 1.557 4.417
Pt 1.349 0.779 22.085

***

! CrRu2Pt (PBE-GGA, optimized geometry); values from VASP
! - SG = P4mm
&SYSTEM
  ibrav = 0, nat = 4, ntyp = 3
/
ATOMIC_SPECIES
Cr 52.00 Cr.upf
Ru 101.07 Ru.upf
Pt 195.08 Pt.upf
CELL_PARAMETERS angstrom
2.692 0.000 0.000
0.000 2.692 0.000
0.000 0.000 7.648
ATOMIC_POSITIONS angstrom
Cr 0.000 0.000 0.000
Ru 0.000 0.000 3.960
Ru 1.346 1.346 5.813
Pt 1.346 1.346 1.861

***

! CrRu2Pt (PBE-GGA, optimized geometry); values from VASP
! - SG = Fm-3m
&SYSTEM
  ibrav = 0, nat = 16, ntyp = 3
/
ATOMIC_SPECIES
Cr 52.00 Cr.upf
Ru 101.07 Ru.upf
Pt 195.08 Pt.upf
CELL_PARAMETERS angstrom
6.094 0.000 0.000
0.000 6.094 0.000
0.000 0.000 6.094
ATOMIC_POSITIONS angstrom
Cr 0.000 0.000 0.000
Cr 0.000 3.047 3.047
Cr 3.047 0.000 3.047
Cr 3.047 3.047 0.000
Ru 1.523 1.523 1.523
Ru 1.523 1.523 4.570
Ru 1.523 4.570 1.523
Ru 1.523 4.570 4.570
Ru 4.570 1.523 1.523
Ru 4.570 1.523 4.570
Ru 4.570 4.570 1.523
Ru 4.570 4.570 4.570
Pt 0.000 0.000 3.047
Pt 0.000 3.047 0.000
Pt 3.047 0.000 0.000
Pt 3.047 3.047 3.047

***

! CrRu2Pt (PBE-GGA, optimized geometry); values from VASP
! - SG = I-42d
&SYSTEM
  ibrav = 0, nat = 16, ntyp = 3
/
ATOMIC_SPECIES
Cr 52.00 Cr.upf
Ru 101.07 Ru.upf
Pt 195.08 Pt.upf
CELL_PARAMETERS angstrom
3.733 0.000 0.000
0.000 3.733 0.000
0.000 0.000 17.809
ATOMIC_POSITIONS angstrom
Cr 0.000 0.000 0.000
Cr 0.000 1.867 4.452
Cr 1.867 0.000 13.357
Cr 1.867 1.867 8.905
Ru 0.855 0.933 2.226
Ru 0.933 2.721 6.679
Ru 0.933 2.878 15.583
Ru 1.012 0.933 11.131
Ru 2.721 2.800 11.131
Ru 2.800 0.855 15.583
Ru 2.800 1.012 6.679
Ru 2.878 2.800 2.226
Pt 0.000 0.000 8.905
Pt 0.000 1.867 13.357
Pt 1.867 0.000 4.452
Pt 1.867 1.867 0.000

***

! Cr2RuPt (PBE-GGA, optimized geometry); values from VASP
! - SG = Pmmm
&SYSTEM
  ibrav = 0, nat = 4, ntyp = 3
/
ATOMIC_SPECIES
Cr 52.00 Cr.upf
Ru 101.07 Ru.upf
Pt 195.08 Pt.upf
CELL_PARAMETERS angstrom
2.684 0.000 0.000
0.000 3.680 0.000
0.000 0.000 5.407
ATOMIC_POSITIONS angstrom
Cr 0.000 0.000 1.203
Cr 0.000 0.000 4.204
Ru 1.342 1.840 0.000
Pt 1.342 1.840 2.703

***

! Cr2RuPt (PBE-GGA, optimized geometry); values from VASP
! - SG = I-4m2
&SYSTEM
  ibrav = 0, nat = 8, ntyp = 3
/
ATOMIC_SPECIES
Cr 52.00 Cr.upf
Ru 101.07 Ru.upf
Pt 195.08 Pt.upf
CELL_PARAMETERS angstrom
3.769 0.000 0.000
0.000 3.769 0.000
0.000 0.000 7.629
ATOMIC_POSITIONS angstrom
Cr 0.000 0.000 0.000
Cr 0.000 1.884 1.907
Cr 1.884 0.000 5.722
Cr 1.884 1.884 3.815
Ru 0.000 0.000 3.815
Ru 1.884 1.884 0.000
Pt 0.000 1.884 5.722
Pt 1.884 0.000 1.907

***

! CrRu2Pt (PBE-GGA, optimized geometry); values from VASP
! - SG = Cmmm
&SYSTEM
  ibrav = 0, nat = 8, ntyp = 3
/
ATOMIC_SPECIES
Cr 52.00 Cr.upf
Ru 101.07 Ru.upf
Pt 195.08 Pt.upf
CELL_PARAMETERS angstrom
5.410 0.000 0.000
0.000 7.600 0.000
0.000 0.000 2.725
ATOMIC_POSITIONS angstrom
Cr 0.000 0.000 0.000
Cr 2.705 3.800 0.000
Ru 1.353 1.900 1.363
Ru 1.353 5.700 1.363
Ru 4.058 1.900 1.363
Ru 4.058 5.700 1.363
Pt 0.000 3.800 0.000
Pt 2.705 0.000 0.000

***

! Cr2RuPt (PBE-GGA, optimized geometry); values from VASP
! - SG = Amm2
&SYSTEM
  ibrav = 0, nat = 8, ntyp = 3
/
ATOMIC_SPECIES
Cr 52.00 Cr.upf
Ru 101.07 Ru.upf
Pt 195.08 Pt.upf
CELL_PARAMETERS angstrom
4.009 0.000 0.000
0.000 2.700 0.000
0.000 0.000 9.810
ATOMIC_POSITIONS angstrom
Cr 0.000 0.000 0.000
Cr 0.000 1.350 4.905
Cr 2.004 0.000 1.201
Cr 2.004 1.350 6.106
Ru 2.004 0.000 3.889
Ru 2.004 1.350 8.794
Pt 0.000 0.000 7.208
Pt 0.000 1.350 2.303

***

! Cr2RuPt (PBE-GGA, optimized geometry); values from VASP
! - SG = C2/m
&SYSTEM
  ibrav = 0, nat = 8, ntyp = 3
/
ATOMIC_SPECIES
Cr 52.00 Cr.upf
Ru 101.07 Ru.upf
Pt 195.08 Pt.upf
CELL_PARAMETERS angstrom
8.781 0.000 0.000
0.000 2.676 0.000
-0.826 0.000 4.556
ATOMIC_POSITIONS angstrom
Cr 1.992 0.000 1.054
Cr 1.572 1.338 3.502
Cr 6.383 1.338 1.054
Cr 5.963 0.000 3.502
Ru 0.000 1.338 0.000
Ru 4.390 0.000 0.000
Pt -0.413 0.000 2.278
Pt 3.978 1.338 2.278

***

! Cr4RuPt (PBE-GGA, optimized geometry); values from VASP
! - SG = F-43m
&SYSTEM
  ibrav = 0, nat = 6, ntyp = 3
/
ATOMIC_SPECIES
Cr 52.00 Cr.upf
Ru 101.07 Ru.upf
Pt 195.08 Pt.upf
CELL_PARAMETERS angstrom
0.000 3.355 3.355
3.355 0.000 3.355
3.355 3.355 0.000
ATOMIC_POSITIONS angstrom
Cr 0.830 0.830 0.830
Cr 2.525 2.525 0.830
Cr 2.525 0.830 2.525
Cr 0.830 2.525 2.525
Ru 3.355 3.355 3.355
Pt 5.032 5.032 5.032

***

! Cr2RuPt (PBE-GGA, optimized geometry); values from VASP
! - SG = I4/mmm
&SYSTEM
  ibrav = 0, nat = 8, ntyp = 3
/
ATOMIC_SPECIES
Cr 52.00 Cr.upf
Ru 101.07 Ru.upf
Pt 195.08 Pt.upf
CELL_PARAMETERS angstrom
3.783 0.000 0.000
0.000 3.783 0.000
0.000 0.000 7.399
ATOMIC_POSITIONS angstrom
Cr 0.000 1.892 1.850
Cr 0.000 1.892 5.550
Cr 1.892 0.000 1.850
Cr 1.892 0.000 5.550
Ru 0.000 0.000 0.000
Ru 1.892 1.892 3.700
Pt 0.000 0.000 3.700
Pt 1.892 1.892 0.000

***

! Cr2RuPt2 (PBE-GGA, optimized geometry); values from VASP
! - ΔE to the lowest computed polymorph (meV per atom) = 17
! - SG = P4/mbm
&SYSTEM
  ibrav = 0, nat = 10, ntyp = 3
/
ATOMIC_SPECIES
Cr 52.00 Cr.upf
Ru 101.07 Ru.upf
Pt 195.08 Pt.upf
CELL_PARAMETERS angstrom
7.241 0.000 0.000
0.000 7.241 0.000
0.000 0.000 2.711
ATOMIC_POSITIONS angstrom
Cr 0.806 2.814 0.000
Cr 2.814 6.434 0.000
Cr 4.427 0.806 0.000
Cr 6.434 4.427 0.000
Ru 0.000 0.000 0.000
Ru 3.620 3.620 0.000
Pt 1.309 4.929 1.355
Pt 2.312 1.309 1.355
Pt 4.929 5.932 1.355
Pt 5.932 2.312 1.355

***

! Cr2RuPt2 (PBE-GGA, optimized geometry); values from VASP
! - ΔE to the lowest computed polymorph (meV per atom) = 0
! - SG = P4/mbm
&SYSTEM
  ibrav = 0, nat = 10, ntyp = 3
/
ATOMIC_SPECIES
Cr 52.00 Cr.upf
Ru 101.07 Ru.upf
Pt 195.08 Pt.upf
CELL_PARAMETERS angstrom
7.330 0.000 0.000
0.000 7.330 0.000
0.000 0.000 2.662
ATOMIC_POSITIONS angstrom
Cr 1.244 2.421 0.000
Cr 2.421 6.086 0.000
Cr 4.909 1.244 0.000
Cr 6.086 4.909 0.000
Ru 0.000 0.000 1.331
Ru 3.665 3.665 1.331
Pt 0.949 4.615 1.331
Pt 2.716 0.949 1.331
Pt 4.615 6.381 1.331
Pt 6.381 2.716 1.331

***

! Cr3RuPt (PBE-GGA, optimized geometry); values from VASP
! - ΔE to the lowest computed polymorph (meV per atom) = 0
! - SG = Pm-3m
&SYSTEM
  ibrav = 0, nat = 5, ntyp = 3
/
ATOMIC_SPECIES
Cr 52.00 Cr.upf
Ru 101.07 Ru.upf
Pt 195.08 Pt.upf
CELL_PARAMETERS angstrom
4.369 0.000 0.000
0.000 4.369 0.000
0.000 0.000 4.369
ATOMIC_POSITIONS angstrom
Cr 0.000 0.000 2.185
Cr 0.000 2.185 0.000
Cr 2.185 0.000 0.000
Ru 0.000 0.000 0.000
Pt 2.185 2.185 2.185

***

! Cr2Ru2Pt (PBE-GGA, optimized geometry); values from VASP
! - ΔE to the lowest computed polymorph (meV per atom) = 0
! - SG = P4/mbm
&SYSTEM
  ibrav = 0, nat = 10, ntyp = 3
/
ATOMIC_SPECIES
Cr 52.00 Cr.upf
Ru 101.07 Ru.upf
Pt 195.08 Pt.upf
CELL_PARAMETERS angstrom
7.088 0.000 0.000
0.000 7.088 0.000
0.000 0.000 2.745
ATOMIC_POSITIONS angstrom
Cr 1.173 2.371 0.000
Cr 2.371 5.916 0.000
Cr 4.717 1.173 0.000
Cr 5.916 4.717 0.000
Ru 0.938 4.482 1.372
Ru 2.606 0.938 1.372
Ru 4.482 6.150 1.372
Ru 6.150 2.606 1.372
Pt 0.000 0.000 1.372
Pt 3.544 3.544 1.372

***

! Cr2RuPt (PBE-GGA, optimized geometry); values from VASP
! - SG = P4/mmm
&SYSTEM
  ibrav = 0, nat = 4, ntyp = 3
/
ATOMIC_SPECIES
Cr 52.00 Cr.upf
Ru 101.07 Ru.upf
Pt 195.08 Pt.upf
CELL_PARAMETERS angstrom
3.785 0.000 0.000
0.000 3.785 0.000
0.000 0.000 3.698
ATOMIC_POSITIONS angstrom
Cr 0.000 1.893 0.000
Cr 1.893 0.000 0.000
Ru 0.000 0.000 1.849
Pt 1.893 1.893 1.849

***

Results for E_form: -3.898, -1.345, 1.366, 1.368, 0.085, 0.001, 1.259, 0.868, 0.431, 0.384, 0.214, 0.022, 1.286, 1.827, -0.261, -0.186, 0.162, -0.094, 0.217, -0.333, -0.296, 0.820, 0.737, 7.197, 0.430, -0.273 (in eV/f.u., following the order of the records).